## Er4AlCu2Pd (PBE)

Data for a relaxed Er4AlCu2Pd crystal. Values from VASP.

Summary:
Density of states at the Fermi level   5.51 states/eV/cell
VASP energy   -4.89 eV/atom
Total moment   0.00 μB per formula unit

Cell and atoms, written as Quantum ESPRESSO input:
```
&SYSTEM
  ibrav = 0, nat = 8, ntyp = 4
/
ATOMIC_SPECIES
Er 167.26 Er.upf
Al 26.98 Al.upf
Cu 63.55 Cu.upf
Pd 106.42 Pd.upf
ATOMIC_POSITIONS crystal
Er 0.621 0.621 0.137
Er 0.873 0.873 0.382
Er 0.127 0.127 0.618
Er 0.379 0.379 0.863
Al 0.000 0.000 0.000
Cu 0.741 0.741 0.778
Cu 0.259 0.259 0.222
Pd 0.500 0.500 0.500
CELL_PARAMETERS angstrom
-1.740 -0.447 -4.583
-3.164 -3.610 -1.090
-7.827 3.507 -0.014
```

---

## Er2Al3Cu12Pd (PBE)

Data for a relaxed Er2Al3Cu12Pd crystal. Values from VASP.

Summary:
Density of states at the Fermi level   11.71 states/eV/cell
VASP energy   -4.14 eV/atom
Total moment   0.00 μB per formula unit

Cell and atoms, written as Quantum ESPRESSO input:
```
&SYSTEM
  ibrav = 0, nat = 18, ntyp = 4
/
ATOMIC_SPECIES
Cu 63.55 Cu.upf
Er 167.26 Er.upf
Pd 106.42 Pd.upf
Al 26.98 Al.upf
ATOMIC_POSITIONS crystal
Cu 0.603 0.127 0.603
Cu 0.397 0.873 0.397
Cu 0.394 0.889 0.889
Cu 0.111 0.606 0.111
Cu 0.603 0.603 0.127
Cu 0.397 0.397 0.873
Cu 0.111 0.111 0.606
Cu 0.889 0.889 0.394
Cu 0.606 0.111 0.111
Cu 0.873 0.397 0.397
Cu 0.127 0.603 0.603
Cu 0.889 0.394 0.889
Er 0.357 0.357 0.357
Er 0.643 0.643 0.643
Pd 0.000 0.000 0.000
Al 0.000 0.000 0.500
Al 0.000 0.500 0.000
Al 0.500 0.000 0.000
CELL_PARAMETERS angstrom
11.499 3.670 2.603
8.870 8.187 2.603
8.870 5.163 6.866
```